Material: Ag2RuAu2
Method: DFT, PBEsol
State: relaxed

a = 3.6233 Å, b = 3.6233 Å, c = 7.3143 Å
α = 104.34°, β = 104.34°, γ = 90.00°
Atoms (fractional coordinates):
Ru 0.0000 0.0000 0.0000
Au 0.4045 0.4045 0.8089
Au 0.5955 0.5955 0.1911
Ag 0.2500 0.7500 0.5000
Ag 0.7500 0.2500 0.5000

Results
total energy = -4.22 eV per atom
total moment = 2.21 Bohr magnetons per cell

Material: CuIr3W
Method: DFT, PBEsol
State: relaxed

a = 4.6722 Å, b = 4.6722 Å, c = 4.6722 Å
α = 90.00°, β = 90.00°, γ = 90.00°
Atoms (fractional coordinates):
Ir 0.0000 0.5000 0.0000
Ir 0.0000 0.0000 0.5000
Ir 0.5000 0.0000 0.0000
Cu 0.5000 0.5000 0.5000
W 0.0000 0.0000 0.0000

Results
total energy = -7.53 eV per atom
total moment = 0.00 Bohr magnetons per cell